# PBE SrAl6Ga12, optimized geometry
# **Fermi-level density of states**: 19.0 states/eV per cell
# **E_form**: -0.031 eV per atom
# **DFT total energy**: -3.2129 eV per atom
data_SrAl6Ga12
_chemical_formula_sum 'Sr3 Al18 Ga36'
_space_group_name_H-M_alt 'R -3 m'
_space_group_IT_number 166
_space_group_name_Hall '-R 3 2"'
_cell_length_a 11.7971
_cell_length_b 11.7971
_cell_length_c 9.3891
_cell_angle_alpha 90.00
_cell_angle_beta 90.00
_cell_angle_gamma 120.00
loop_
_atom_site_label
_atom_site_type_symbol
_atom_site_fract_x
_atom_site_fract_y
_atom_site_fract_z
_atom_site_occupancy
Sr1 Sr 0.0000 0.0000 0.0000 1
Al1 Al 0.0549 0.5275 0.2320 1
Ga1 Ga 0.0000 0.3926 0.5000 1
Ga2 Ga 0.0846 0.1691 0.3019 1